# ScPt2W

A relaxed structure of ScPt2W (PBE, Alexandria).

Unit cell a=4.8778 b=4.8778 c=2.8119 alpha=90.00 beta=90.00 gamma=90.00
With the nearest neighbours (Å) after each atom.
Fractional positions:
1 Sc 0.0000 0.0000 0.0000  2 Sc 2.81, 8 Pt 2.82
2 Pt 0.0000 0.5000 0.5000  2 Pt 2.81, 4 W 2.82, 4 Sc 2.82
3 Pt 0.5000 0.0000 0.5000  2 Pt 2.81, 4 W 2.82, 4 Sc 2.82
4 W 0.5000 0.5000 0.0000  2 W 2.81, 8 Pt 2.82

Energy relative to the elements   -0.515 eV/atom
DFT total energy   -8.36 eV per atom